[1]
Computed, not measured: NaGdGeTe3 after structural relaxation at the PBE level of DFT.

Results
The value obtained for the magnetization is 0.000 μB/atom. As for the crystal system: orthorhombic. As for the total energy: -49.041 eV/cell. For the volume, the calculation gives 33.08 A^3/atom.

Unit cell a=7.675 b=7.675 c=11.773 alpha=90.00 beta=90.00 gamma=145.09
Fractional coordinates of all 12 atoms:
Gd 0.000 0.000 0.000
Gd 0.000 0.000 0.500
Ge 0.481 0.519 0.250
Ge 0.519 0.481 0.750
Na 0.768 0.232 0.250
Na 0.232 0.768 0.750
Te 0.361 0.639 0.060
Te 0.098 0.902 0.250
Te 0.361 0.639 0.440
Te 0.639 0.361 0.560
Te 0.902 0.098 0.750
Te 0.639 0.361 0.940



[2]
Computed, not measured: LiTaBePd after structural relaxation at the PBE level of DFT.

Results
The value obtained for the magnetization is 0.001 μB/atom. As for the crystal system: cubic. The value obtained for the excess energy over the best structure of this formula in the dataset is 143 meV/atom. For the volume, the calculation gives 12.81 A^3/atom.

Unit cell a=4.169 b=4.169 c=4.169 alpha=60.00 beta=60.00 gamma=60.00
Fractional coordinates of all 4 atoms:
Be 0.250 0.250 0.250
Li 0.750 0.750 0.750
Pd 0.500 0.500 0.500
Ta 0.000 0.000 0.000



Q: What is the volume in the first record?
A: 33.08 A^3/atom



Q: volume of number 2 (LiTaBePd)?
A: 12.81 A^3/atom